Density functional theory data (GGA-PBE) for crystalline MgScAs2 at its relaxed geometry.

POSCAR file:
```
MgScAs2
1.0
4.185 0.000 0.000
0.000 5.067 0.000
0.000 0.000 3.666
As Sc Mg
2 1 1
Direct
0.500 0.500 0.000
0.000 0.000 0.000
0.000 0.500 0.500
0.500 0.000 0.500
```

Properties
The density of states at the Fermi level comes out at 1.9 states/eV per cell. The calculation puts the calculated formation energy at -0.643 eV per atom. The calculation puts the volume at 19.4 Å³ per atom.